Pm5TlGa2 after structural relaxation. Source: the Open Quantum Materials Database, functional PBE-GGA.

a = 9.313 Å, b = 9.313 Å, c = 9.313 Å
α = 129.79°, β = 129.79°, γ = 73.74°
Fractional positions:
Pm 0.500 0.500 0.000
Pm 0.025 0.186 0.500
Pm 0.686 0.525 0.500
Pm 0.186 0.686 0.160
Pm 0.475 0.975 0.160
Pm 0.000 0.000 0.000
Pm 0.314 0.475 0.500
Pm 0.814 0.314 0.840
Pm 0.525 0.025 0.840
Pm 0.975 0.814 0.500
Ga 0.620 0.880 0.500
Ga 0.120 0.620 0.740
Ga 0.380 0.120 0.500
Ga 0.880 0.380 0.260
Tl 0.750 0.750 0.000
Tl 0.250 0.250 0.000

* calculated total energy: -4.4409 eV/atom